[1]
VASP calculation (meta-GGA SCAN) on BIrN2O at its PBEsol-relaxed geometry.

Cell: 3.736 3.736 4.046 Å, 90.00 90.00 90.00°
Fractional positions:
1 B 0.000 0.000 0.000
2 Ir 0.500 0.500 0.500
3 N 0.000 0.500 0.500
4 N 0.500 0.000 0.500
5 O 0.500 0.500 0.000

Energy = -19.0535 eV per atom

---

[2]
VASP calculation (meta-GGA SCAN) on InNi2PtS at its PBEsol-relaxed geometry.

Cell: 4.567 4.567 5.024 Å, 90.00 90.00 90.00°
Fractional positions:
1 In 0.000 0.000 0.000
2 Ni 0.000 0.500 0.500
3 Ni 0.500 0.000 0.500
4 Pt 0.000 0.000 0.500
5 S 0.500 0.500 0.000

Energy = -28.4177 eV per atom

---

[3]
VASP calculation (meta-GGA SCAN) on IBrF2 at its PBEsol-relaxed geometry.

Cell: 8.316 8.316 8.316 Å, 148.95 148.95 44.49°
Fractional positions:
1 I 0.000 0.000 0.000
2 I 0.750 0.250 0.500
3 Br 0.250 0.750 0.500
4 Br 0.500 0.500 0.000
5 F 0.375 0.215 0.340
6 F 0.785 0.125 0.160
7 F 0.875 0.035 0.660
8 F 0.965 0.625 0.840

Energy = -16.2267 eV per atom

---

The records above yield uncorrected formation energy values of 1615; 693; -406 meV per atom, respectively.